Si2HgPb, optimized geometry, DFT PBEsol; energy relative to the lowest polymorph listed for this composition = 105 meV/atom; space group = No. 139; formation energy (no corrections) = 2.14 eV/f.u.; crystal system = tetragonal; electronic total energy = -3.479 eV/atom
1.0
-2.5561 -1.8374 -2.7587
-0.0341 -3.4689 2.3421
-2.5829 4.3530 2.6694
Si Hg Pb
2 1 1
Cartesian
-1.9561 -0.8845 2.4016 Si
-3.2171 -0.0688 -0.1488 Si
-1.2951 -2.6532 -0.2083 Hg
0.0000 0.0000 0.0000 Pb